Ba2CoCu PBE optimized geometry; Fermi-level density of states = 6.493 states/eV/cell; symmetry = P4mm, No. 99; total DFT energy (no corrections) = -3.261 eV/atom; calculated density = 4778 kg/m³; ΔH_f (0 K) = 0.5011 eV/atom; total magnetization = 0.9 μB per cell
1.0
4.6267 0.0000 0.0000
0.0000 4.6267 0.0000
0.0000 0.0000 6.4483
Ba Cu Co
2 1 1
Direct
0.5000 0.5000 0.3747 Ba
0.0000 0.0000 0.8749 Ba
0.5000 0.5000 0.8748 Cu
0.0000 0.0000 0.3756 Co